No. 1
LiTa4Cl, relaxed, DFT GGA-PBE; E_form (uncorrected) = 520 kJ/mol of formula units; energy = -45.8 eV per formula unit; crystal system = cubic; magnetization = 0.0 μB/cell; space-group type = F-43m, No. 216
1.0
3.168 -2.034 4.118
-1.447 -4.748 2.549
3.002 -4.632 -0.817
Li Ta Cl
1 4 1
Cartesian
0.000 0.000 0.000
3.384 -5.285 4.291
3.299 -6.622 1.752
1.010 -6.682 3.484
1.754 -4.239 2.172
3.542 -8.560 4.387

No. 2
LiTaCl2, relaxed, DFT GGA-PBE; E_form (uncorrected) = -26 kJ/mol of formula units; energy = -17.7 eV per formula unit; crystal system = tetragonal; ΔE to the lowest computed polymorph = 0.673 eV per atom; magnetization = 1.6 μB/cell; space-group type = I-4m2, No. 119
1.0
7.640 0.426 0.000
5.808 4.982 0.000
-6.724 -2.704 2.456
Cl Li Ta
2 1 1
Cartesian
0.000 0.000 0.000
2.904 2.491 1.228
6.724 2.704 0.000
3.820 0.213 1.228

No. 3
LiTaCl, relaxed, DFT GGA-PBE; E_form (uncorrected) = -56 kJ/mol of formula units; energy = -16.2 eV per formula unit; crystal system = trigonal; ΔE to the lowest computed polymorph = 0.000 eV per atom; magnetization = 0.2 μB/cell; space-group type = P3m1, No. 156
1.0
-1.172 -1.606 2.324
-0.636 -0.797 -2.883
5.183 -3.884 -0.070
Cl Li Ta
1 1 1
Cartesian
5.112 -3.831 -0.069
0.669 -2.582 0.566
2.778 -3.758 -1.196